## Li2BeMoF6 (PBE+U)

Data for an optimized crystal structure of Li2BeMoF6.

Summary:
Total energy ... -52.09 eV per cell
Space group ... P1 (1)
Volume ... 11.961 Å³ per atom
Magnetic moment ... 2.0 μB per formula unit

a = 5.502 Å, b = 5.606 Å, c = 6.098 Å
α = 66.36°, β = 50.93°, γ = 55.15°
Fractional coordinates of all 10 atoms:
F (0.005, 0.413, 0.289)
F (0.605, 0.189, 0.813)
Be (0.376, 0.159, 0.146)
Li (0.476, 0.531, 0.560)
F (0.071, 0.494, 0.707)
F (0.346, 0.867, 0.254)
Mo (0.845, 0.841, 0.478)
F (0.352, 0.825, 0.733)
Li (0.968, 0.187, 0.818)
F (0.618, 0.154, 0.217)